(1)
Computed, not measured: a relaxed Ni2TeHO6 crystal at the PBE with a Hubbard U level of DFT.

a b c (Å): 4.979 5.154 5.557
angles (deg): 63.70 89.92 61.33
Positions (direct):
Ni1 0.000 0.000 0.000
Ni2 0.467 0.052 0.452
Te1 0.793 0.410 0.401
H1 0.393 0.523 0.697
O1 0.078 0.213 0.209
O2 0.182 0.213 0.671
O3 0.406 0.527 0.199
O4 0.584 0.539 0.687
O5 0.717 0.864 0.221
O6 0.832 0.972 0.658

**Total magnetization**: 3.0 μB per formula unit

(2)
Computed, not measured: a relaxed Ti2NiHO crystal at the PBE with a Hubbard U level of DFT.

a b c (Å): 4.270 4.270 2.845
angles (deg): 90.00 90.00 90.00
Positions (direct):
Ti1 0.000 0.500 0.000
Ti2 0.500 0.000 0.000
Ni1 0.000 0.000 0.500
H1 0.500 0.500 0.500
O1 0.500 0.500 0.000

**Total magnetization**: 0.0 μB per formula unit

no.,final energy (eV per atom)
1,-5.046
2,-5.646